A relaxed structure of Ba3CoGe, computed with PBE.

Properties
The symmetry is Pm-3m (221).

POSCAR file:
```
Ba3CoGe
1.0
-3.219 1.799 4.315
-4.665 -1.582 -2.820
0.309 -5.146 2.376
Ba Co Ge
3 1 1
direct
0.000 0.500 0.000 Ba
0.000 0.000 0.500 Ba
0.500 0.000 0.000 Ba
0.000 0.000 0.000 Co
0.500 0.500 0.500 Ge
```

A relaxed structure of BaCo2Ge, computed with PBE.

Properties
The symmetry is I4_1/amd (141).

POSCAR file:
```
BaCo2Ge
1.0
4.837 0.000 0.000
0.000 4.837 0.000
2.419 2.419 8.012
Co Ba Ge
4 2 2
direct
0.375 0.625 0.250 Co
0.875 0.625 0.750 Co
0.375 0.125 0.250 Co
0.375 0.625 0.750 Co
0.750 0.250 0.500 Ba
0.000 0.000 0.000 Ba
0.500 0.500 0.000 Ge
0.250 0.750 0.500 Ge
```

Quick rundown of energy of formation, same order as above: 0.18 0.11 eV/atom
Quick rundown of electronic total energy, same order as above: -16.58 -20.30 eV per formula unit